Density functional theory data (PBE) for a relaxed LiTlPd4 crystal.

Computed properties:
* total magnetization: 0.000 μB/atom
* DOS(E_F): 0.5185 states/eV/atom
* ρ: 10.9 Mg/m³
* ΔE to the lowest computed polymorph: 0.000 eV/atom

Structure (POSCAR):
```
LiTlPd4
1.0
-4.651 0.233 1.507
-0.142 -8.537 0.882
-0.046 0.503 4.858
Li Tl Pd
2 2 8
Direct
0.500 0.000 0.500
0.000 0.500 0.500
0.000 0.000 0.000
0.500 0.500 0.000
0.999 0.665 0.001
0.501 0.165 0.999
0.501 0.332 0.499
0.999 0.832 0.501
0.001 0.335 0.999
0.499 0.835 0.001
0.499 0.668 0.501
0.001 0.168 0.499
```